The following is a DFT calculation (PBE) of a relaxed ErAlInAg crystal.

Properties
The formation energy is -0.201 eV per atom. The total energy is -14.698 eV for the cell shown.

CIF file:
```
data_ErAlInAg
_chemical_formula_sum 'Er1 Al1 In1 Ag1'
_cell_length_a 4.959
_cell_length_b 4.959
_cell_length_c 4.959
_cell_angle_alpha 60.00
_cell_angle_beta 60.00
_cell_angle_gamma 60.00
_symmetry_space_group_name_H-M 'P 1'
_symmetry_Int_Tables_number 1
_symmetry_space_group_name_Hall 'P 1'
loop_
_atom_site_label
_atom_site_fract_x
_atom_site_fract_y
_atom_site_fract_z
_atom_site_occupancy
In1 0.750 0.750 0.750 1
Al1 0.500 0.500 0.500 1
Ag1 0.250 0.250 0.250 1
Er1 0.000 0.000 0.000 1
```

The following is a DFT calculation (PBE) of a relaxed ErAlAgIr crystal.

Properties
The formation energy is -0.507 eV per atom. The total energy is -22.044 eV for the cell shown.

CIF file:
```
data_ErAlAgIr
_chemical_formula_sum 'Er1 Al1 Ag1 Ir1'
_cell_length_a 4.676
_cell_length_b 4.676
_cell_length_c 4.676
_cell_angle_alpha 60.00
_cell_angle_beta 60.00
_cell_angle_gamma 60.00
_symmetry_space_group_name_H-M 'P 1'
_symmetry_Int_Tables_number 1
_symmetry_space_group_name_Hall 'P 1'
loop_
_atom_site_label
_atom_site_fract_x
_atom_site_fract_y
_atom_site_fract_z
_atom_site_occupancy
Ir1 0.500 0.500 0.500 1
Al1 0.750 0.750 0.750 1
Ag1 0.000 0.000 0.000 1
Er1 0.250 0.250 0.250 1
```

The following is a DFT calculation (PBE) of a relaxed ErMgAl2Ag5 crystal.

Properties
The formation energy is -0.057 eV per atom. The total energy is -28.413 eV for the cell shown.

CIF file:
```
data_ErMgAl2Ag5
_chemical_formula_sum 'Er1 Mg1 Al2 Ag5'
_cell_length_a 4.776
_cell_length_b 4.776
_cell_length_c 8.017
_cell_angle_alpha 90.00
_cell_angle_beta 90.00
_cell_angle_gamma 90.00
_symmetry_space_group_name_H-M 'P 1'
_symmetry_Int_Tables_number 1
_symmetry_space_group_name_Hall 'P 1'
loop_
_atom_site_label
_atom_site_fract_x
_atom_site_fract_y
_atom_site_fract_z
_atom_site_occupancy
Er1 0.000 0.000 0.500 1
Mg1 0.000 0.000 0.000 1
Al1 0.500 0.500 0.156 1
Al2 0.500 0.500 0.844 1
Ag1 0.000 0.500 0.273 1
Ag2 0.500 0.000 0.273 1
Ag3 0.000 0.500 0.727 1
Ag4 0.500 0.000 0.727 1
Ag5 0.500 0.500 0.500 1
```

The following is a DFT calculation (PBE) of a relaxed Er2Al4AgPd3 crystal.

Properties
The formation energy is -0.719 eV per atom. The total energy is -49.716 eV for the cell shown.

CIF file:
```
data_Er2Al4AgPd3
_chemical_formula_sum 'Er2 Al4 Ag1 Pd3'
_cell_length_a 4.143
_cell_length_b 4.143
_cell_length_c 10.953
_cell_angle_alpha 90.00
_cell_angle_beta 90.00
_cell_angle_gamma 90.00
_symmetry_space_group_name_H-M 'P 1'
_symmetry_Int_Tables_number 1
_symmetry_space_group_name_Hall 'P 1'
loop_
_atom_site_label
_atom_site_fract_x
_atom_site_fract_y
_atom_site_fract_z
_atom_site_occupancy
Er1 0.500 0.000 0.239 1
Er2 0.000 0.500 0.761 1
Al1 0.500 0.500 0.000 1
Al2 0.000 0.000 0.000 1
Al3 0.500 0.000 0.639 1
Al4 0.000 0.500 0.361 1
Ag1 0.500 0.500 0.500 1
Pd1 0.000 0.000 0.500 1
Pd2 0.500 0.000 0.864 1
Pd3 0.000 0.500 0.136 1
```

The following is a DFT calculation (PBE) of a relaxed ErAl3AgPd crystal.

Properties
The formation energy is -0.407 eV per atom. The total energy is -52.548 eV for the cell shown.

CIF file:
```
data_ErAl3AgPd
_chemical_formula_sum 'Er2 Al6 Ag2 Pd2'
_cell_length_a 5.879
_cell_length_b 5.954
_cell_length_c 7.139
_cell_angle_alpha 114.64
_cell_angle_beta 90.00
_cell_angle_gamma 90.00
_symmetry_space_group_name_H-M 'P 1'
_symmetry_Int_Tables_number 1
_symmetry_space_group_name_Hall 'P 1'
loop_
_atom_site_label
_atom_site_fract_x
_atom_site_fract_y
_atom_site_fract_z
_atom_site_occupancy
Er1 0.750 0.299 0.598 1
Er2 0.250 0.701 0.402 1
Al1 0.250 0.133 0.266 1
Al2 0.000 0.282 0.000 1
Al3 0.500 0.718 0.000 1
Al4 0.500 0.282 0.000 1
Al5 0.000 0.718 0.000 1
Al6 0.750 0.867 0.734 1
Ag1 0.250 0.340 0.681 1
Ag2 0.750 0.660 0.319 1
Pd1 0.250 0.909 0.817 1
Pd2 0.750 0.091 0.183 1
```

The following is a DFT calculation (PBE) of a relaxed Er2Al2AgPd5 crystal.

Properties
The formation energy is -0.697 eV per atom. The total energy is -104.788 eV for the cell shown.

CIF file:
```
data_Er2Al2AgPd5
_chemical_formula_sum 'Er4 Al4 Ag2 Pd10'
_cell_length_a 3.668
_cell_length_b 9.901
_cell_length_c 9.901
_cell_angle_alpha 90.00
_cell_angle_beta 90.00
_cell_angle_gamma 90.00
_symmetry_space_group_name_H-M 'P 1'
_symmetry_Int_Tables_number 1
_symmetry_space_group_name_Hall 'P 1'
loop_
_atom_site_label
_atom_site_fract_x
_atom_site_fract_y
_atom_site_fract_z
_atom_site_occupancy
Er1 0.000 0.679 0.179 1
Er2 0.000 0.321 0.821 1
Er3 0.000 0.179 0.321 1
Er4 0.000 0.821 0.679 1
Al1 0.000 0.119 0.619 1
Al2 0.000 0.881 0.381 1
Al3 0.000 0.619 0.881 1
Al4 0.000 0.381 0.119 1
Ag1 0.000 0.000 0.000 1
Ag2 0.000 0.500 0.500 1
Pd1 0.500 0.210 0.066 1
Pd2 0.500 0.790 0.934 1
Pd3 0.500 0.066 0.790 1
Pd4 0.500 0.710 0.434 1
Pd5 0.500 0.934 0.210 1
Pd6 0.500 0.290 0.566 1
Pd7 0.500 0.566 0.710 1
Pd8 0.500 0.434 0.290 1
Pd9 0.500 0.500 0.000 1
Pd10 0.500 0.000 0.500 1
```

The following is a DFT calculation (PBE) of a relaxed Er4AlAg2Pd crystal.

Properties
The formation energy is -0.498 eV per atom. The total energy is -36.875 eV for the cell shown.

CIF file:
```
data_Er4AlAg2Pd
_chemical_formula_sum 'Er4 Al1 Ag2 Pd1'
_cell_length_a 5.050
_cell_length_b 5.050
_cell_length_c 8.733
_cell_angle_alpha 73.20
_cell_angle_beta 73.20
_cell_angle_gamma 60.00
_symmetry_space_group_name_H-M 'P 1'
_symmetry_Int_Tables_number 1
_symmetry_space_group_name_Hall 'P 1'
loop_
_atom_site_label
_atom_site_fract_x
_atom_site_fract_y
_atom_site_fract_z
_atom_site_occupancy
Er1 0.380 0.380 0.861 1
Er2 0.872 0.872 0.385 1
Er3 0.128 0.128 0.615 1
Er4 0.620 0.620 0.139 1
Al1 0.000 0.000 0.000 1
Ag1 0.743 0.743 0.771 1
Ag2 0.257 0.257 0.229 1
Pd1 0.500 0.500 0.500 1
```

The following is a DFT calculation (PBE) of a relaxed Er2Al4AgPt3 crystal.

Properties
The formation energy is -0.933 eV per atom. The total energy is -54.401 eV for the cell shown.

CIF file:
```
data_Er2Al4AgPt3
_chemical_formula_sum 'Er2 Al4 Ag1 Pt3'
_cell_length_a 4.163
_cell_length_b 4.163
_cell_length_c 10.804
_cell_angle_alpha 90.00
_cell_angle_beta 90.00
_cell_angle_gamma 90.00
_symmetry_space_group_name_H-M 'P 1'
_symmetry_Int_Tables_number 1
_symmetry_space_group_name_Hall 'P 1'
loop_
_atom_site_label
_atom_site_fract_x
_atom_site_fract_y
_atom_site_fract_z
_atom_site_occupancy
Er1 0.500 0.000 0.240 1
Er2 0.000 0.500 0.760 1
Al1 0.500 0.500 0.000 1
Al2 0.000 0.000 0.000 1
Al3 0.500 0.000 0.636 1
Al4 0.000 0.500 0.364 1
Ag1 0.500 0.500 0.500 1
Pt1 0.000 0.000 0.500 1
Pt2 0.500 0.000 0.864 1
Pt3 0.000 0.500 0.136 1
```

The following is a DFT calculation (PBE) of a relaxed Er3AlAg4S8 crystal.

Properties
The calculation puts the uncorrected formation energy at -1.121 eV/atom. The total energy is -79.788 eV for the cell shown.

CIF file:
```
data_Er3AlAg4S8
_chemical_formula_sum 'Er3 Al1 Ag4 S8'
_cell_length_a 7.875
_cell_length_b 11.661
_cell_length_c 7.892
_cell_angle_alpha 131.82
_cell_angle_beta 119.93
_cell_angle_gamma 90.00
_symmetry_space_group_name_H-M 'P 1'
_symmetry_Int_Tables_number 1
_symmetry_space_group_name_Hall 'P 1'
loop_
_atom_site_label
_atom_site_fract_x
_atom_site_fract_y
_atom_site_fract_z
_atom_site_occupancy
Er1 0.500 0.500 0.000 1
Er2 0.500 0.500 0.500 1
Er3 0.000 0.500 0.500 1
Al1 0.000 0.500 0.000 1
Ag1 0.500 0.000 0.000 1
Ag2 0.500 0.000 0.500 1
Ag3 0.000 0.000 0.000 1
Ag4 0.000 0.000 0.500 1
S1 0.272 0.681 0.084 1
S2 0.273 0.682 0.546 1
S3 0.211 0.313 0.422 1
S4 0.813 0.681 0.084 1
S5 0.187 0.319 0.916 1
S6 0.789 0.687 0.578 1
S7 0.727 0.318 0.454 1
S8 0.728 0.319 0.916 1
```

The following is a DFT calculation (PBE) of a relaxed ErAlAg2S4 crystal.

Properties
The calculation puts the uncorrected formation energy at -0.908 eV/atom. The total energy is -75.571 eV for the cell shown.

CIF file:
```
data_ErAlAg2S4
_chemical_formula_sum 'Er2 Al2 Ag4 S8'
_cell_length_a 7.620
_cell_length_b 7.620
_cell_length_c 8.173
_cell_angle_alpha 122.43
_cell_angle_beta 122.43
_cell_angle_gamma 88.37
_symmetry_space_group_name_H-M 'P 1'
_symmetry_Int_Tables_number 1
_symmetry_space_group_name_Hall 'P 1'
loop_
_atom_site_label
_atom_site_fract_x
_atom_site_fract_y
_atom_site_fract_z
_atom_site_occupancy
Er1 0.000 0.500 0.000 1
Er2 0.000 0.500 0.500 1
Al1 0.500 0.500 0.500 1
Al2 0.000 0.000 0.000 1
Ag1 0.500 0.000 0.000 1
Ag2 0.500 0.000 0.500 1
Ag3 0.000 0.000 0.500 1
Ag4 0.500 0.500 0.000 1
S1 0.248 0.744 0.996 1
S2 0.756 0.252 0.504 1
S3 0.244 0.748 0.496 1
S4 0.752 0.256 0.004 1
S5 0.749 0.751 0.949 1
S6 0.749 0.751 0.551 1
S7 0.251 0.249 0.449 1
S8 0.251 0.249 0.051 1
```

The following is a DFT calculation (PBE) of a relaxed Er3AlAg3Se8 crystal.

Properties
The calculation puts the uncorrected formation energy at -1.026 eV/atom. The total energy is -69.249 eV for the cell shown.

CIF file:
```
data_Er3AlAg3Se8
_chemical_formula_sum 'Er3 Al1 Ag3 Se8'
_cell_length_a 8.124
_cell_length_b 8.123
_cell_length_c 8.021
_cell_angle_alpha 120.59
_cell_angle_beta 90.00
_cell_angle_gamma 120.00
_symmetry_space_group_name_H-M 'P 1'
_symmetry_Int_Tables_number 1
_symmetry_space_group_name_Hall 'P 1'
loop_
_atom_site_label
_atom_site_fract_x
_atom_site_fract_y
_atom_site_fract_z
_atom_site_occupancy
Er1 0.500 0.000 0.500 1
Er2 0.500 0.500 0.500 1
Er3 0.000 0.500 0.500 1
Al1 0.000 0.000 0.500 1
Ag1 0.000 0.000 0.000 1
Ag2 0.000 0.500 0.000 1
Ag3 0.500 0.500 0.000 1
Se1 0.253 0.506 0.260 1
Se2 0.747 0.494 0.740 1
Se3 0.770 0.540 0.269 1
Se4 0.230 0.460 0.731 1
Se5 0.770 0.998 0.269 1
Se6 0.230 0.002 0.731 1
Se7 0.228 0.998 0.269 1
Se8 0.772 0.002 0.731 1
```

The following is a DFT calculation (PBE) of a relaxed ErAlAg2Se4 crystal.

Properties
The calculation puts the uncorrected formation energy at -0.788 eV/atom. The total energy is -68.498 eV for the cell shown.

CIF file:
```
data_ErAlAg2Se4
_chemical_formula_sum 'Er2 Al2 Ag4 Se8'
_cell_length_a 7.982
_cell_length_b 7.982
_cell_length_c 8.426
_cell_angle_alpha 121.86
_cell_angle_beta 121.86
_cell_angle_gamma 89.05
_symmetry_space_group_name_H-M 'P 1'
_symmetry_Int_Tables_number 1
_symmetry_space_group_name_Hall 'P 1'
loop_
_atom_site_label
_atom_site_fract_x
_atom_site_fract_y
_atom_site_fract_z
_atom_site_occupancy
Er1 0.000 0.500 0.000 1
Er2 0.000 0.500 0.500 1
Al1 0.500 0.500 0.500 1
Al2 0.000 0.000 0.000 1
Ag1 0.500 0.000 0.000 1
Ag2 0.500 0.000 0.500 1
Ag3 0.999 0.999 0.499 1
Ag4 0.499 0.499 0.999 1
Se1 0.253 0.745 0.999 1
Se2 0.755 0.247 0.501 1
Se3 0.246 0.753 0.499 1
Se4 0.747 0.255 0.001 1
Se5 0.748 0.752 0.957 1
Se6 0.748 0.752 0.543 1
Se7 0.252 0.248 0.457 1
Se8 0.252 0.248 0.043 1
```